{
  "formula": "LiMnF3",
  "functional": "PBE+U",
  "state": "optimized geometry",
  "total_energy_ev_per_fu": -28.60,
  "magmom_total_mub_per_cell": 20.0,
  "e_above_lowest_polymorph_kj_per_mol_atoms": 5.11,
  "cell": [[3.7529, 5.7365, 0.0572], [-3.7529, 5.7365, 0.0572], [0.0000, 2.9484, 5.3212]],
  "species": ["Li", "Li", "Li", "Li", "Mn", "Mn", "Mn", "Mn", "F", "F", "F", "F", "F", "F", "F", "F", "F", "F", "F", "F"],
  "fractional_positions": [[0.1973, 0.8208, 0.2381], [0.8216, 0.1981, 0.2409], [0.8208, 0.1973, 0.7381], [0.1981, 0.8216, 0.7409], [0.7335, 0.7274, 0.6486], [0.7274, 0.7335, 0.1486], [0.2842, 0.2920, 0.8288], [0.2920, 0.2842, 0.3288], [0.8879, 0.8891, 0.2508], [0.8891, 0.8879, 0.7508], [0.4693, 0.8174, 0.9763], [0.8231, 0.4679, 0.9761], [0.8174, 0.4693, 0.4763], [0.4679, 0.8231, 0.4761], [0.5491, 0.2009, 0.5015], [0.1957, 0.5502, 0.5011], [0.2009, 0.5491, 0.0015], [0.5502, 0.1957, 0.0011], [0.1308, 0.1298, 0.2268], [0.1298, 0.1308, 0.7268]]
}